Arrangement 1

A plane-wave DFT calculation with PBE-GGA was carried out for an optimized crystal structure of PaBeCu.

Calculated values
Fermi-level density of states	3.77	states/eV/cell
volume	49.3	Å³/cell

a b c (Å): 3.205 4.215 4.215
angles (deg): 120.00 90.00 90.00
Positions (direct):
Pa 0.666 0.667 0.333
Cu 0.167 0.000 0.000
Be 0.167 0.333 0.667

=====

Arrangement 2

A plane-wave DFT calculation with PBE-GGA was carried out for an optimized crystal structure of PaBeCu.

Calculated values
Fermi-level density of states	2.14	states/eV/cell
volume	46.0	Å³/cell

a b c (Å): 2.928 2.928 5.750
angles (deg): 104.75 104.75 90.00
Positions (direct):
Be 0.699 0.699 0.399
Cu 0.296 0.296 0.593
Pa 0.004 0.004 0.008

=====

Arrangement 3

A plane-wave DFT calculation with PBE-GGA was carried out for an optimized crystal structure of PaBeCu.

Calculated values
Fermi-level density of states	4.85	states/eV/cell
volume	95.4	Å³/cell

a b c (Å): 3.865 4.153 6.252
angles (deg): 90.00 108.00 90.00
Positions (direct):
Be 0.635 0.250 0.270
Cu 0.249 0.250 0.499
Pa 0.925 0.250 0.850
Be 0.365 0.750 0.730
Cu 0.751 0.750 0.501
Pa 0.075 0.750 0.150

=====

Of the structures shown above, arrangement 3 is the least stable.